[1]
An optimized crystal structure of Mg2CoOs. Source: Alexandria, functional GGA-PBE.

energy above the most stable polymorph in this dataset	0.179	eV per atom

a b c (Å): 2.657 4.151 5.449
angles (deg): 90.00 90.00 90.00
Element x y z (fractional)
Mg  0.000  0.000  0.249
Mg  0.000  0.000  0.751
Co  0.500  0.500  0.000
Os  0.500  0.500  0.500

[2]
An optimized crystal structure of Ca2VAgAu. Source: Alexandria, functional GGA-PBE.

calculated total energy	-15.17	eV for the cell shown

a b c (Å): 5.497 5.497 5.111
angles (deg): 90.00 90.00 90.00
Element x y z (fractional)
Ca  0.000  0.500  0.000
Ca  0.500  0.000  0.000
V  0.000  0.000  0.500
Ag  0.500  0.500  0.000
Au  0.500  0.500  0.500